Record 1
Computed, not measured: a relaxed structure of PrMg2Ga2Si at the GGA-PBE level of DFT.

DOS at the Fermi energy: 2.9 states/eV per cell
Symmetry: No. 139
Mass density: 4.0 g cm⁻³
Raw formation energy: 0.09 eV/atom

Unit cell a=5.235 b=5.235 c=6.572 alpha=113.47 beta=113.47 gamma=90.00
Fractional positions:
Pr 0.500 0.500 0.000
Mg 0.250 0.750 0.500
Mg 0.750 0.250 0.500
Ga 0.784 0.784 0.568
Ga 0.216 0.216 0.432
Si 0.000 0.000 0.000

=====

Record 2
Computed, not measured: a relaxed structure of AlSe3Cl at the GGA-PBE level of DFT.

Energy above the most stable polymorph in this dataset: 0.0 kJ/mol of atoms
DOS at the Fermi energy: 6.0 states/eV per cell
Symmetry: No. 221
Mass density: 4.2 g cm⁻³
Raw formation energy: 0.21 eV/atom

Unit cell a=4.905 b=4.905 c=4.905 alpha=90.00 beta=90.00 gamma=90.00
Fractional positions:
Al 0.000 0.000 0.000
Se 0.000 0.500 0.000
Se 0.000 0.000 0.500
Se 0.500 0.000 0.000
Cl 0.500 0.500 0.500